Entry 1:
First-principles (PBEsol) data for crystalline TlPb2 at its relaxed geometry, as listed in the Alexandria database.

Geometry as CIF:
```
data_TlPb2
_cell_length_a 3.3072
_cell_length_b 5.5471
_cell_length_c 5.5471
_cell_angle_alpha 120.00
_cell_angle_beta 90.00
_cell_angle_gamma 90.00
_space_group_name_H-M_alt 'P 1'
_space_group_IT_number 1
_space_group_name_Hall 'P 1'
loop_
_atom_site_label
_atom_site_type_symbol
_atom_site_fract_x
_atom_site_fract_y
_atom_site_fract_z
_atom_site_occupancy
Pb1 Pb 0.0000 0.3333 0.6667 1
Pb2 Pb 0.0000 0.6667 0.3333 1
Tl1 Tl 0.5000 0.0000 0.0000 1
```

SG	No. 191
M_tot	0.00	μB per atom
calculated formation energy	33	meV/atom
polymorph energy (0 for the lowest one)	39	meV per atom

***

Entry 2:
First-principles (PBEsol) data for crystalline Tl3Pb at its relaxed geometry, as listed in the Alexandria database.

Geometry as CIF:
```
data_Tl3Pb
_cell_length_a 6.9210
_cell_length_b 6.9210
_cell_length_c 10.9516
_cell_angle_alpha 90.00
_cell_angle_beta 90.00
_cell_angle_gamma 120.00
_space_group_name_H-M_alt 'P 1'
_space_group_IT_number 1
_space_group_name_Hall 'P 1'
loop_
_atom_site_label
_atom_site_type_symbol
_atom_site_fract_x
_atom_site_fract_y
_atom_site_fract_z
_atom_site_occupancy
Pb1 Pb 0.0000 0.0000 0.0000 1
Pb2 Pb 0.0000 0.0000 0.5000 1
Pb3 Pb 0.6667 0.3333 0.7500 1
Pb4 Pb 0.3333 0.6667 0.2500 1
Tl1 Tl 0.5000 0.5000 0.0000 1
Tl2 Tl 0.5000 0.5000 0.5000 1
Tl3 Tl 0.0000 0.5000 0.0000 1
Tl4 Tl 0.5000 0.0000 0.0000 1
Tl5 Tl 0.5000 0.0000 0.5000 1
Tl6 Tl 0.0000 0.5000 0.5000 1
Tl7 Tl 0.1665 0.8335 0.7500 1
Tl8 Tl 0.8335 0.1665 0.2500 1
Tl9 Tl 0.6670 0.8335 0.7500 1
Tl10 Tl 0.1665 0.3330 0.7500 1
Tl11 Tl 0.8335 0.6670 0.2500 1
Tl12 Tl 0.3330 0.1665 0.2500 1
```

SG	No. 194
M_tot	0.00	μB per atom
calculated formation energy	6	meV/atom
polymorph energy (0 for the lowest one)	8	meV per atom

***

Entry 3:
First-principles (PBEsol) data for crystalline TlPb2 at its relaxed geometry, as listed in the Alexandria database.

Geometry as CIF:
```
data_TlPb2
_cell_length_a 5.5171
_cell_length_b 5.5171
_cell_length_c 6.6451
_cell_angle_alpha 90.00
_cell_angle_beta 90.00
_cell_angle_gamma 120.00
_space_group_name_H-M_alt 'P 1'
_space_group_IT_number 1
_space_group_name_Hall 'P 1'
loop_
_atom_site_label
_atom_site_type_symbol
_atom_site_fract_x
_atom_site_fract_y
_atom_site_fract_z
_atom_site_occupancy
Pb1 Pb 0.0000 0.0000 0.0000 1
Pb2 Pb 0.0000 0.0000 0.5000 1
Pb3 Pb 0.6667 0.3333 0.7500 1
Pb4 Pb 0.3333 0.6667 0.2500 1
Tl1 Tl 0.3333 0.6667 0.7500 1
Tl2 Tl 0.6667 0.3333 0.2500 1
```

SG	No. 194
M_tot	0.00	μB per atom
calculated formation energy	53	meV/atom
polymorph energy (0 for the lowest one)	59	meV per atom

***

Entry 4:
First-principles (PBEsol) data for crystalline Tl2Pb at its relaxed geometry, as listed in the Alexandria database.

Geometry as CIF:
```
data_Tl2Pb
_cell_length_a 3.4086
_cell_length_b 4.9029
_cell_length_c 5.9232
_cell_angle_alpha 114.45
_cell_angle_beta 106.72
_cell_angle_gamma 90.00
_space_group_name_H-M_alt 'P 1'
_space_group_IT_number 1
_space_group_name_Hall 'P 1'
loop_
_atom_site_label
_atom_site_type_symbol
_atom_site_fract_x
_atom_site_fract_y
_atom_site_fract_z
_atom_site_occupancy
Pb1 Pb 0.0000 0.0000 0.0000 1
Tl1 Tl 0.3336 0.3336 0.6673 1
Tl2 Tl 0.6664 0.6664 0.3327 1
```

SG	No. 71
M_tot	0.00	μB per atom
calculated formation energy	-4	meV/atom
polymorph energy (0 for the lowest one)	2	meV per atom

***

Entry 5:
First-principles (PBEsol) data for crystalline TlPb2 at its relaxed geometry, as listed in the Alexandria database.

Geometry as CIF:
```
data_TlPb2
_cell_length_a 3.4281
_cell_length_b 6.8706
_cell_length_c 7.7956
_cell_angle_alpha 102.51
_cell_angle_beta 102.63
_cell_angle_gamma 89.65
_space_group_name_H-M_alt 'P 1'
_space_group_IT_number 1
_space_group_name_Hall 'P 1'
loop_
_atom_site_label
_atom_site_type_symbol
_atom_site_fract_x
_atom_site_fract_y
_atom_site_fract_z
_atom_site_occupancy
Pb1 Pb 0.8608 0.9724 0.9729 1
Pb2 Pb 0.5278 0.3055 0.3055 1
Pb3 Pb 0.1947 0.6387 0.6381 1
Pb4 Pb 0.5279 0.8056 0.3056 1
Tl1 Tl 0.1944 0.1401 0.6389 1
Tl2 Tl 0.8612 0.4710 0.9722 1
```

SG	No. 2
M_tot	0.00	μB per atom
calculated formation energy	-5	meV/atom
polymorph energy (0 for the lowest one)	2	meV per atom

***

Entry 6:
First-principles (PBEsol) data for crystalline Tl3Pb at its relaxed geometry, as listed in the Alexandria database.

Geometry as CIF:
```
data_Tl3Pb
_cell_length_a 5.8870
_cell_length_b 6.8455
_cell_length_c 11.2835
_cell_angle_alpha 90.00
_cell_angle_beta 90.00
_cell_angle_gamma 90.00
_space_group_name_H-M_alt 'P 1'
_space_group_IT_number 1
_space_group_name_Hall 'P 1'
loop_
_atom_site_label
_atom_site_type_symbol
_atom_site_fract_x
_atom_site_fract_y
_atom_site_fract_z
_atom_site_occupancy
Pb1 Pb 0.9123 0.6254 0.2500 1
Pb2 Pb 0.5877 0.1254 0.7500 1
Pb3 Pb 0.4123 0.8746 0.2500 1
Pb4 Pb 0.0877 0.3746 0.7500 1
Tl1 Tl 0.9097 0.1273 0.2500 1
Tl2 Tl 0.5903 0.6273 0.7500 1
Tl3 Tl 0.4097 0.3727 0.2500 1
Tl4 Tl 0.0903 0.8727 0.7500 1
Tl5 Tl 0.2483 0.6239 0.9998 1
Tl6 Tl 0.2517 0.1239 0.0002 1
Tl7 Tl 0.7483 0.8761 0.5002 1
Tl8 Tl 0.7517 0.3761 0.4998 1
Tl9 Tl 0.7517 0.3761 0.0002 1
Tl10 Tl 0.7483 0.8761 0.9998 1
Tl11 Tl 0.2517 0.1239 0.4998 1
Tl12 Tl 0.2483 0.6239 0.5002 1
```

SG	No. 62
M_tot	0.00	μB per atom
calculated formation energy	-2	meV/atom
polymorph energy (0 for the lowest one)	0	meV per atom

***

Entry 7:
First-principles (PBEsol) data for crystalline TlPb5 at its relaxed geometry, as listed in the Alexandria database.

Geometry as CIF:
```
data_TlPb5
_cell_length_a 3.4470
_cell_length_b 6.6353
_cell_length_c 8.2753
_cell_angle_alpha 105.80
_cell_angle_beta 90.41
_cell_angle_gamma 104.29
_space_group_name_H-M_alt 'P 1'
_space_group_IT_number 1
_space_group_name_Hall 'P 1'
loop_
_atom_site_label
_atom_site_type_symbol
_atom_site_fract_x
_atom_site_fract_y
_atom_site_fract_z
_atom_site_occupancy
Pb1 Pb 0.9978 0.0004 0.9980 1
Pb2 Pb 0.3305 0.6647 0.6653 1
Pb3 Pb 0.6612 0.3304 0.3328 1
Pb4 Pb 0.6157 0.2232 0.7216 1
Pb5 Pb 0.9460 0.8893 0.3919 1
Tl1 Tl 0.2823 0.5585 0.0574 1
```

SG	No. 1
M_tot	0.00	μB per atom
calculated formation energy	15	meV/atom
polymorph energy (0 for the lowest one)	17	meV per atom

***

Entry 8:
First-principles (PBEsol) data for crystalline TlPb5 at its relaxed geometry, as listed in the Alexandria database.

Geometry as CIF:
```
data_TlPb5
_cell_length_a 3.4111
_cell_length_b 3.4111
_cell_length_c 15.1807
_cell_angle_alpha 90.00
_cell_angle_beta 90.00
_cell_angle_gamma 90.00
_space_group_name_H-M_alt 'P 1'
_space_group_IT_number 1
_space_group_name_Hall 'P 1'
loop_
_atom_site_label
_atom_site_type_symbol
_atom_site_fract_x
_atom_site_fract_y
_atom_site_fract_z
_atom_site_occupancy
Pb1 Pb 0.0000 0.0000 0.8347 1
Pb2 Pb 0.0000 0.0000 0.1653 1
Pb3 Pb 0.5000 0.5000 0.6684 1
Pb4 Pb 0.5000 0.5000 0.3316 1
Pb5 Pb 0.0000 0.0000 0.5000 1
Tl1 Tl 0.5000 0.5000 0.0000 1
```

SG	No. 123
M_tot	0.00	μB per atom
calculated formation energy	-2	meV/atom
polymorph energy (0 for the lowest one)	0	meV per atom

***

Entry 9:
First-principles (PBEsol) data for crystalline Tl5Pb at its relaxed geometry, as listed in the Alexandria database.

Geometry as CIF:
```
data_Tl5Pb
_cell_length_a 3.4214
_cell_length_b 3.4214
_cell_length_c 14.4983
_cell_angle_alpha 90.00
_cell_angle_beta 90.00
_cell_angle_gamma 90.00
_space_group_name_H-M_alt 'P 1'
_space_group_IT_number 1
_space_group_name_Hall 'P 1'
loop_
_atom_site_label
_atom_site_type_symbol
_atom_site_fract_x
_atom_site_fract_y
_atom_site_fract_z
_atom_site_occupancy
Pb1 Pb 0.5000 0.5000 0.0000 1
Tl1 Tl 0.0000 0.0000 0.8324 1
Tl2 Tl 0.0000 0.0000 0.1676 1
Tl3 Tl 0.5000 0.5000 0.6663 1
Tl4 Tl 0.5000 0.5000 0.3337 1
Tl5 Tl 0.0000 0.0000 0.5000 1
```

SG	No. 123
M_tot	0.00	μB per atom
calculated formation energy	-2	meV/atom
polymorph energy (0 for the lowest one)	0	meV per atom

***

Entry 10:
First-principles (PBEsol) data for crystalline TlPb3 at its relaxed geometry, as listed in the Alexandria database.

Geometry as CIF:
```
data_TlPb3
_cell_length_a 4.8852
_cell_length_b 4.8852
_cell_length_c 4.8852
_cell_angle_alpha 90.00
_cell_angle_beta 90.00
_cell_angle_gamma 90.00
_space_group_name_H-M_alt 'P 1'
_space_group_IT_number 1
_space_group_name_Hall 'P 1'
loop_
_atom_site_label
_atom_site_type_symbol
_atom_site_fract_x
_atom_site_fract_y
_atom_site_fract_z
_atom_site_occupancy
Pb1 Pb 0.0000 0.5000 0.5000 1
Pb2 Pb 0.5000 0.0000 0.5000 1
Pb3 Pb 0.5000 0.5000 0.0000 1
Tl1 Tl 0.0000 0.0000 0.0000 1
```

SG	No. 221
M_tot	0.00	μB per atom
calculated formation energy	1	meV/atom

***

Entry 11:
First-principles (PBEsol) data for crystalline Tl3Pb at its relaxed geometry, as listed in the Alexandria database.

Geometry as CIF:
```
data_Tl3Pb
_cell_length_a 4.8372
_cell_length_b 4.8372
_cell_length_c 4.8372
_cell_angle_alpha 90.00
_cell_angle_beta 90.00
_cell_angle_gamma 90.00
_space_group_name_H-M_alt 'P 1'
_space_group_IT_number 1
_space_group_name_Hall 'P 1'
loop_
_atom_site_label
_atom_site_type_symbol
_atom_site_fract_x
_atom_site_fract_y
_atom_site_fract_z
_atom_site_occupancy
Pb1 Pb 0.0000 0.0000 0.0000 1
Tl1 Tl 0.0000 0.5000 0.5000 1
Tl2 Tl 0.5000 0.0000 0.5000 1
Tl3 Tl 0.5000 0.5000 0.0000 1
```

SG	No. 221
M_tot	0.00	μB per atom
calculated formation energy	3	meV/atom
polymorph energy (0 for the lowest one)	5	meV per atom

***

Entry 12:
First-principles (PBEsol) data for crystalline TlPb3 at its relaxed geometry, as listed in the Alexandria database.

Geometry as CIF:
```
data_TlPb3
_cell_length_a 4.9748
_cell_length_b 4.9748
_cell_length_c 5.8815
_cell_angle_alpha 115.02
_cell_angle_beta 115.02
_cell_angle_gamma 90.00
_space_group_name_H-M_alt 'P 1'
_space_group_IT_number 1
_space_group_name_Hall 'P 1'
loop_
_atom_site_label
_atom_site_type_symbol
_atom_site_fract_x
_atom_site_fract_y
_atom_site_fract_z
_atom_site_occupancy
Pb1 Pb 0.7500 0.2500 0.5000 1
Pb2 Pb 0.5000 0.5000 0.0000 1
Pb3 Pb 0.2500 0.7500 0.5000 1
Tl1 Tl 0.0000 0.0000 0.0000 1
```

SG	No. 139
M_tot	0.00	μB per atom
calculated formation energy	-3	meV/atom

***

no.,density (g/cm³)
1,11.659
2,11.994
3,11.732
4,11.964
5,11.760
6,11.983
7,11.709
8,11.661
9,12.026
10,11.765
11,12.036
12,11.758